Material: SmCr2SbO6
Method: DFT, PBE with a Hubbard U
State: relaxed

The space group is P1 (No. 1) and the conventional cell measures 5.5062, 5.5471 and 5.5517 Å, with angles of 90.56, 119.31 and 119.75 degrees. Symmetry generates all atoms from Sm at (0.0000, 0.0000, 0.0000), Cr at (0.4899, 0.2234, 0.7256), Cr at (0.5105, 0.7349, 0.2263), Sb at (0.9581, 0.4581, 0.5347), O at (0.0019, 0.5774, 0.9363), O at (0.0032, 0.8944, 0.4389), O at (0.3708, 0.4274, 0.8962), O at (0.4667, 0.4145, 0.4118), O at (0.6012, 0.0373, 0.0303) and O at (0.6352, 0.0340, 0.5524).

As for the total DFT energy (no corrections): -74.80 eV per cell.